1.
An optimized crystal structure of Ce5Os2Pb2. Source: the Alexandria database, functional PBE-GGA.

a = 15.916 Å, b = 7.937 Å, c = 7.718 Å
α = 90.00°, β = 90.00°, γ = 90.00°
Space group Cmce (No. 64)
Symmetry-distinct sites (fractional):
1 Ce 0.000 0.000 0.000 (multiplicity 4)
2 Ce 0.115 0.169 0.337 (multiplicity 16)
3 Os 0.000 0.132 0.638 (multiplicity 8)
4 Pb 0.216 0.000 0.000 (multiplicity 8)

Output
Energy of formation, kJ/mol of formula units: -252.0
Relative energy among the computed polymorphs, meV per atom: 0

=====

2.
An optimized crystal structure of CsRbFe2. Source: the Alexandria database, functional PBE-GGA.

a = 8.655 Å, b = 8.655 Å, c = 8.655 Å
α = 90.00°, β = 90.00°, γ = 90.00°
Space group Fm-3m (No. 225)
Symmetry-distinct sites (fractional):
1 Cs 0.000 0.000 0.000 (multiplicity 4)
2 Rb 0.000 0.000 0.500 (multiplicity 4)
3 Fe 0.250 0.250 0.250 (multiplicity 8)

Output
Energy of formation, kJ/mol of formula units: 597.8

=====

3.
An optimized crystal structure of Nd2DyHo12. Source: the Alexandria database, functional PBE-GGA.

a = 7.041 Å, b = 11.264 Å, c = 24.717 Å
α = 90.00°, β = 90.05°, γ = 90.00°
Space group C2/m (No. 12)
Symmetry-distinct sites (fractional):
1 Nd 0.250 0.000 0.233 (multiplicity 4)
2 Nd 0.250 0.000 0.767 (multiplicity 4)
3 Dy 0.250 0.000 0.500 (multiplicity 4)
4 Ho 0.000 0.000 0.085 (multiplicity 4)
5 Ho 0.000 0.000 0.375 (multiplicity 4)
6 Ho 0.000 0.250 0.173 (multiplicity 8)
7 Ho 0.000 0.250 0.302 (multiplicity 8)
8 Ho 0.000 0.500 0.375 (multiplicity 4)
9 Ho 0.001 0.500 0.915 (multiplicity 4)
10 Ho 0.249 0.250 0.062 (multiplicity 8)
11 Ho 0.250 0.250 0.422 (multiplicity 8)

Output
Energy of formation, kJ/mol of formula units: 239.1

=====

4.
An optimized crystal structure of Rb4LaCe3S8. Source: the Alexandria database, functional PBE-GGA.

a = 8.5409 Å, b = 8.5409 Å, c = 23.0215 Å
α = 90.00°, β = 90.00°, γ = 120.00°
Space group R-3m (No. 166, hexagonal axes)
Symmetry-distinct sites (fractional):
1 Rb 0.0000 0.0000 0.0000 (multiplicity 3)
2 Rb 0.0000 0.5000 0.0000 (multiplicity 9)
3 La 0.0000 0.0000 0.5000 (multiplicity 3)
4 Ce 0.0000 0.5000 0.5000 (multiplicity 9)
5 S 0.0000 0.0000 0.2317 (multiplicity 6)
6 S 0.0035 0.5018 0.7678 (multiplicity 18)

Output
Formation energy from raw total energies, meV per atom: -1796

=====

no.,electronic total energy (Ry per atom)
1,-0.508
2,-0.231
3,-0.326
4,-0.406